Ti6InOs: optimized geometry, PBE.

extended XYZ file:
```
8
Lattice="4.402 0.000 0.000 0.000 3.365 4.573 0.000 -3.365 4.573" Properties=species:S:1:pos:R:3 pbc="T T T"
Ti 0.000 0.000 0.000
Ti 0.000 -1.528 2.254
Ti 0.000 1.528 2.254
Ti 2.201 0.000 1.899
Ti 2.201 -1.539 4.386
Ti 2.201 1.539 4.386
In 2.201 0.000 6.784
Os 0.000 0.000 4.427
```

Energy of formation: -0.18 eV/atom
Space-group type: Amm2

---

CoWSe3: optimized geometry, PBE.

extended XYZ file:
```
5
Lattice="4.926 0.000 0.000 0.000 4.926 0.000 0.000 0.000 4.926" Properties=species:S:1:pos:R:3 pbc="T T T"
Co 0.000 0.000 0.000
W 2.463 2.463 2.463
Se 0.000 2.463 2.463
Se 2.463 0.000 2.463
Se 2.463 2.463 0.000
```

Distance to the lowest polymorph of the same formula: 1113 meV per atom
ΔE_f (raw): 864 meV/atom
Space-group type: Pm-3m

---

LaTc2Pb: optimized geometry, PBE.

extended XYZ file:
```
4
Lattice="3.190 0.000 0.000 0.000 3.190 0.000 0.000 0.000 8.445" Properties=species:S:1:pos:R:3 pbc="T T T"
La 0.000 0.000 0.000
Tc 0.000 0.000 4.936
Tc 1.595 1.595 6.269
Pb 1.595 1.595 2.877
```

Energy of formation: 0.08 eV/atom
Space-group type: P4mm

---

TlTe2RuBr: optimized geometry, PBE.

extended XYZ file:
```
5
Lattice="5.062 0.000 0.000 0.000 5.062 0.000 0.000 0.000 5.937" Properties=species:S:1:pos:R:3 pbc="T T T"
Tl 0.000 0.000 0.000
Te 0.000 2.531 2.968
Te 2.531 0.000 2.968
Ru 0.000 0.000 2.968
Br 2.531 2.531 0.000
```

ΔE_f (raw): 83 meV/atom
Space-group type: P4/mmm

---

TmScSi4: optimized geometry, PBE.

extended XYZ file:
```
24
Lattice="6.640 0.000 0.000 0.000 16.933 0.000 0.000 0.000 3.866" Properties=species:S:1:pos:R:3 pbc="T T T"
Tm 0.791 3.175 0.000
Tm 2.528 11.641 0.000
Tm 4.111 5.292 0.000
Tm 5.848 13.758 0.000
Sc 0.868 7.005 0.000
Sc 2.452 15.472 0.000
Sc 4.188 1.461 0.000
Sc 5.772 9.927 0.000
Si 0.331 15.758 1.933
Si 0.367 11.510 1.933
Si 1.187 9.158 1.933
Si 1.372 13.643 1.933
Si 1.948 5.176 1.933
Si 2.132 0.692 1.933
Si 2.953 3.044 1.933
Si 2.989 7.291 1.933
Si 3.651 9.641 1.933
Si 3.687 13.889 1.933
Si 4.507 16.241 1.933
Si 4.692 11.757 1.933
Si 5.268 3.290 1.933
Si 5.452 7.775 1.933
Si 6.272 5.423 1.933
Si 6.308 1.175 1.933
```

ΔE_f (raw): -441 meV/atom
Space-group type: Pbam

---

Ac2GaS6: optimized geometry, PBE.

extended XYZ file:
```
9
Lattice="5.262 -3.283 0.000 5.262 3.283 0.000 -0.403 0.000 5.853" Properties=species:S:1:pos:R:3 pbc="T T T"
Ac 1.657 0.000 1.361
Ac 8.464 0.000 4.492
Ga 5.262 0.000 0.000
S 4.186 1.734 1.309
S 3.003 0.000 4.224
S 5.934 1.734 4.544
S 4.186 -1.734 1.309
S 7.118 0.000 1.629
S 5.934 -1.734 4.544
```

ΔE_f (raw): -1092 meV/atom
Space-group type: C2/m

---

TaAs3Pt: optimized geometry, PBE.

extended XYZ file:
```
5
Lattice="4.921 0.000 0.000 0.000 4.921 0.000 0.000 0.000 4.921" Properties=species:S:1:pos:R:3 pbc="T T T"
Ta 0.000 0.000 0.000
As 0.000 0.000 2.461
As 0.000 2.461 0.000
As 2.461 0.000 0.000
Pt 2.461 2.461 2.461
```

Energy of formation: 0.70 eV/atom
Distance to the lowest polymorph of the same formula: 0 meV per atom
Space-group type: Pm-3m

---

MnSbRh2: optimized geometry, PBE.

extended XYZ file:
```
4
Lattice="4.143 0.000 0.000 0.000 4.143 0.000 0.000 0.000 3.659" Properties=species:S:1:pos:R:3 pbc="T T T"
Mn 0.000 0.000 0.000
Sb 2.072 2.072 0.000
Rh 0.000 2.072 1.830
Rh 2.072 0.000 1.830
```

ΔE_f (raw): -297 meV/atom
Space-group type: P4/mmm

---

GdLuZnPt: optimized geometry, PBE.

extended XYZ file:
```
4
Lattice="0.000 3.507 3.507 3.507 0.000 3.507 3.507 3.507 0.000" Properties=species:S:1:pos:R:3 pbc="T T T"
Gd 0.000 0.000 0.000
Lu 3.507 3.507 3.507
Zn 5.260 5.260 5.260
Pt 1.753 1.753 1.753
```

Energy of formation: -0.79 eV/atom
Space-group type: F-43m

---

Li6Tl3Pd: optimized geometry, PBE.

extended XYZ file:
```
10
Lattice="5.521 3.188 1.801 -5.521 3.188 1.801 0.000 -6.375 1.801" Properties=species:S:1:pos:R:3 pbc="T T T"
Li 0.000 -4.760 1.801
Li -4.122 2.380 1.801
Li 0.000 -2.152 2.017
Li -1.864 1.076 2.017
Li 1.864 1.076 2.017
Li 4.122 2.380 1.801
Tl -2.675 -1.545 2.881
Tl 2.675 -1.545 2.881
Tl 0.000 3.089 2.881
Pd 0.000 0.000 3.324
```

Energy of formation: -0.17 eV/atom
Distance to the lowest polymorph of the same formula: 94 meV per atom
Space-group type: R3m

---

La4Tl2N: optimized geometry, PBE.

extended XYZ file:
```
14
Lattice="6.856 0.000 0.000 0.000 7.178 0.000 -3.387 0.000 9.093" Properties=species:S:1:pos:R:3 pbc="T T T"
La -0.781 0.003 2.502
La -0.781 3.586 2.502
La 2.402 1.794 0.443
La 0.701 1.794 5.941
La 2.768 5.383 3.152
La 1.067 5.383 8.650
La 4.250 7.175 6.591
La 4.250 3.592 6.591
Tl 1.170 5.383 0.278
Tl 0.130 5.383 5.363
Tl 3.338 1.794 3.730
Tl 2.299 1.794 8.815
N -1.264 1.794 7.226
N 4.733 5.383 1.867
```

Distance to the lowest polymorph of the same formula: 0 meV per atom
ΔE_f (raw): -638 meV/atom
Space-group type: P2_1/m